Entry 1:
16
Lattice="-1.874 -0.736 -5.579 2.165 -5.522 0.002 -20.491 -8.031 7.943" Properties=species:S:1:pos:R:3 comment="Sr12Ca3Ac (PBE-GGA, optimized geometry)" e_form_mev_per_atom=35 vol_a3_per_atom=51.45 energy_ev_per_atom=-1.858 rho_g_cm3=2.82 pbc="T T T"
Sr -16.851 -9.790 6.952
Sr -13.747 -5.389 2.176
Sr -6.599 -5.772 2.979
Sr -4.984 -5.140 -0.800
Sr -18.871 -7.397 4.162
Sr -3.495 -1.371 -1.798
Sr -15.216 -9.150 3.166
Sr -8.619 -3.379 0.188
Sr -10.100 -7.145 1.183
Sr 0.145 -3.129 -2.789
Sr -1.475 -3.764 0.992
Sr -11.727 -7.782 4.966
Ac 0.000 0.000 0.000
Ca -10.246 -4.016 3.972
Ca -15.374 -6.026 5.960
Ca -5.117 -2.006 1.983

Entry 2:
10
Lattice="4.069 0.000 0.000 0.000 4.069 0.000 0.000 0.000 28.426" Properties=species:S:1:pos:R:3 comment="Sr4Ca5Ac (PBE-GGA, optimized geometry)" e_form_mev_per_atom=26 vol_a3_per_atom=47.06 energy_ev_per_atom=-2.058 rho_g_cm3=2.74 pbc="T T T"
Sr 0.000 0.000 5.521
Sr 0.000 0.000 11.307
Sr 0.000 0.000 22.904
Sr 0.000 0.000 17.119
Ac 0.000 0.000 0.000
Ca 2.034 2.034 8.407
Ca 2.034 2.034 20.019
Ca 2.034 2.034 2.643
Ca 2.034 2.034 14.213
Ca 2.034 2.034 25.782

Entry 3:
8
Lattice="-2.886 -4.158 -4.388 4.278 -4.729 -2.050 -2.486 -7.684 5.741" Properties=species:S:1:pos:R:3 comment="SrCa6Ac (PBE-GGA, optimized geometry)" e_above_lowest_polymorph_ev_per_atom=0.227 e_form_mev_per_atom=269 vol_a3_per_atom=50.07 energy_ev_per_atom=-1.956 rho_g_cm3=2.30 pbc="T T T"
Sr 0.000 0.000 0.000
Ac -0.547 -8.286 -0.348
Ca -2.470 -11.528 -1.132
Ca -1.765 -10.373 2.875
Ca 0.981 -11.804 -0.006
Ca -2.075 -4.768 -0.691
Ca 0.671 -6.198 -3.571
Ca 1.376 -5.043 0.435